Entry from Alexandria: Nd4SmTm8 after structural relaxation (PBE).

POSCAR file:
```
Nd4SmTm8
1.0
7.775 0.000 0.000
0.000 7.775 0.000
0.000 0.000 7.775
Nd Sm Tm
4 1 8
Cartesian
0.000 0.000 0.000
0.000 3.888 3.888
3.888 0.000 3.888
3.888 3.888 0.000
3.888 3.888 3.888
1.864 1.864 1.864
1.864 1.864 5.911
1.864 5.911 1.864
1.864 5.911 5.911
5.911 1.864 1.864
5.911 1.864 5.911
5.911 5.911 1.864
5.911 5.911 5.911
```

Computed properties:
- M_tot (μB per cell) = 1.9
- V (Å³ per cell) = 470
- Fermi-level density of states (states/eV per cell) = 21.66
- E (eV per cell) = -52.71



Entry from Alexandria: Nd3SmTm6 after structural relaxation (PBE).

POSCAR file:
```
Nd3SmTm6
1.0
6.493 0.000 0.000
-3.204 5.653 0.000
-3.036 -1.787 8.787
Nd Sm Tm
3 1 6
Cartesian
0.000 0.000 0.000
-0.450 1.955 2.702
0.703 1.911 6.085
-3.120 1.933 4.393
-1.658 -0.459 6.031
-2.964 1.992 8.360
1.897 -0.488 2.752
-1.644 4.355 6.035
3.218 1.874 0.427
1.911 4.325 2.756
```

Computed properties:
- M_tot (μB per cell) = 0.0
- energy above the lowest structure with this stoichiometry (meV per atom) = 111
- V (Å³ per cell) = 323
- Fermi-level density of states (states/eV per cell) = 12.41
- E (eV per cell) = -44.07



Which of these has the highest E?
Nd3SmTm6



Which value of V does entry 2 give?
323 Å³ per cell